A:
Entry from Alexandria via LeMat-Bulk: Li2ZnGa2 after structural relaxation (GGA-PBE).

Properties
Density of states at the Fermi level ... 6.131 states/eV per cell

a b c (Å): 9.5210 5.0097 7.0139
angles (deg): 90.00 110.55 90.00
Last column: nearest neighbours and their distance in Å.
Space group C2/c (No. 15)
Inequivalent atoms, fractional coordinates:
Li (0.1938, 0.1497, 0.1464) [8 per cell]  6 Ga 2.74-2.94, 3 Zn 2.75-2.85, 3 Li 2.81-2.91
Zn (0.0000, 0.1969, 0.7500) [4 per cell]  6 Ga 2.67-2.98, 6 Li 2.75-2.85
Ga (0.1007, 0.3274, 0.4526) [8 per cell]  3 Zn 2.67-2.98, 6 Li 2.74-2.94, 3 Ga 2.79-2.83

***

B:
Entry from Alexandria via LeMat-Bulk: Li2ZnGa2 after structural relaxation (GGA-PBE).

Properties
Density of states at the Fermi level ... 2.647 states/eV per cell

a b c (Å): 3.6196 3.6196 13.0049
angles (deg): 90.00 90.00 90.00
Last column: nearest neighbours and their distance in Å.
Space group I4/mmm (No. 139)
Inequivalent atoms, fractional coordinates:
Li (0.0000, 0.5000, 0.2500) [4 per cell]  4 Li 2.56, 4 Ga 2.69
Zn (0.0000, 0.0000, 0.0000) [2 per cell]  8 Ga 2.85
Ga (0.0000, 0.0000, 0.4032) [4 per cell]  1 Ga 2.52, 4 Li 2.69

***

What is the stability order? It is A, B, from most stable to least stable.